Record 1
The following is a DFT calculation (PBE-GGA) of a relaxed BeCu2Se crystal.

abc: 3.644 3.644 16.772
angles: 90.00 90.00 90.00
Space group I-42d (No. 122)
Inequivalent atoms, fractional coordinates:
1 Be 0.000 0.000 0.000
2 Cu 0.227 0.250 0.125
3 Se 0.000 0.000 0.500

Properties
Its energy relative to the elements, uncorrected is 203 meV/atom. As for the density of states at the Fermi level: 1.27 states/eV/f.u.

=====

Record 2
The following is a DFT calculation (PBE-GGA) of a relaxed CsLiHgF6 crystal.

abc: 5.5848 5.5848 6.5699
angles: 90.00 90.00 120.00
Space group P312 (No. 149)
Inequivalent atoms, fractional coordinates:
1 Cs 0.0000 0.0000 0.0000
2 Li 0.3333 0.6667 0.5000
3 Hg 0.6667 0.3333 0.5000
4 F 0.0060 0.3812 0.6792

Properties
Its energy relative to the elements, uncorrected is -1821 meV/atom.

=====

Record 3
The following is a DFT calculation (PBE-GGA) of a relaxed MnInAu2 crystal.

abc: 4.029 4.029 19.516
angles: 90.00 90.00 90.00
Space group I-42d (No. 122)
Inequivalent atoms, fractional coordinates:
1 Mn 0.000 0.000 0.000
2 In 0.000 0.000 0.500
3 Au 0.244 0.250 0.125

Properties
Its energy of formation is 0.16 eV/atom. As for the density of states at the Fermi level: 2.50 states/eV/f.u.

=====

Record 4
The following is a DFT calculation (PBE-GGA) of a relaxed Sr2PuGa crystal.

abc: 3.7672 3.7672 36.3794
angles: 90.00 90.00 120.00
Space group R-3m (No. 166, hexagonal axes)
Inequivalent atoms, fractional coordinates:
1 Sr 0.0000 0.0000 0.1002
2 Pu 0.0000 0.0000 0.0000
3 Ga 0.0000 0.0000 0.5000

Properties
Its energy of formation is 0.29 eV/atom. As for the density of states at the Fermi level: 14.05 states/eV/f.u.

=====

Record 5
The following is a DFT calculation (PBE-GGA) of a relaxed Ho2Sc2Sb2H crystal.

abc: 4.311 4.311 16.331
angles: 90.00 90.00 90.00
Space group I4/mmm (No. 139)
Inequivalent atoms, fractional coordinates:
1 Ho 0.000 0.000 0.178
2 Sc 0.000 0.500 0.000
3 Sb 0.000 0.000 0.368
4 H 0.000 0.000 0.000

Properties
As for the density of states at the Fermi level: 6.01 states/eV/f.u.

=====

Record 6
The following is a DFT calculation (PBE-GGA) of a relaxed LaTbHoHg crystal.

abc: 3.657 3.657 9.008
angles: 90.00 90.00 90.00
Space group P4mm (No. 99)
Inequivalent atoms, fractional coordinates:
1 La 0.000 0.000 0.000
2 Tb 0.500 0.500 0.712
3 Ho 0.500 0.500 0.285
4 Hg 0.000 0.000 0.495

Properties
Its energy of formation is -0.23 eV/atom. As for the density of states at the Fermi level: 5.86 states/eV/f.u.

=====

Which volume belongs to each record? In order, 13.92 19.72 19.80 37.26 21.68 30.11 Å³/atom.
Which uncorrected energy belongs to each record? In order, -3.65 -3.41 -4.45 -4.89 -5.60 -3.84 eV per atom.